# 1
{
  "formula": "Mg3MnNb",
  "functional": "SCAN",
  "state": "PBEsol geometry",
  "lattice": [[4.723, 0.000, 0.000], [0.000, 4.723, 0.000], [0.000, 0.000, 4.723]],
  "species": ["Mg", "Mg", "Mg", "Mn", "Nb"],
  "fractional_positions": [[0.000, 0.000, 0.500], [0.000, 0.500, 0.000], [0.500, 0.000, 0.000], [0.000, 0.000, 0.000], [0.500, 0.500, 0.500]],
  "crystal_system": "cubic",
  "n_ef_per_ev_atom": 0.51,
  "magnetic_moment_mub_per_cell": 5.5,
  "ef_kj_per_mol_fu": 477,
  "vol_a3_per_atom": 21.07
}

***

# 2
{
  "formula": "MgMnNb2Tc",
  "functional": "SCAN",
  "state": "PBEsol geometry",
  "lattice": [[4.672, 0.000, 0.000], [0.000, 4.672, 0.000], [0.000, 0.000, 4.109]],
  "species": ["Mg", "Mn", "Nb", "Nb", "Tc"],
  "fractional_positions": [[0.000, 0.000, 0.000], [0.000, 0.000, 0.500], [0.000, 0.500, 0.000], [0.500, 0.000, 0.000], [0.500, 0.500, 0.500]],
  "crystal_system": "tetragonal",
  "n_ef_per_ev_atom": 0.97,
  "magnetic_moment_mub_per_cell": 2.8,
  "ef_kj_per_mol_fu": 853,
  "vol_a3_per_atom": 17.94
}

***

# 3
{
  "formula": "Mg2MnNi",
  "functional": "SCAN",
  "state": "PBEsol geometry",
  "lattice": [[3.032, 0.000, 0.000], [0.000, 3.032, 0.000], [0.000, 0.000, 6.938]],
  "species": ["Mg", "Mg", "Mn", "Ni"],
  "fractional_positions": [[0.000, 0.000, 0.000], [0.500, 0.500, 0.334], [0.000, 0.000, 0.598], [0.500, 0.500, 0.764]],
  "crystal_system": "tetragonal",
  "n_ef_per_ev_atom": 0.42,
  "magnetic_moment_mub_per_cell": 4.6,
  "ef_kj_per_mol_fu": -53,
  "vol_a3_per_atom": 15.95
}

***

# 4
{
  "formula": "MgMnNi6",
  "functional": "SCAN",
  "state": "PBEsol geometry",
  "lattice": [[3.532, -4.996, 0.000], [3.532, 4.996, 0.000], [0.000, 0.000, 9.991]],
  "species": ["Mg", "Mg", "Mg", "Mg", "Mn", "Mn", "Mn", "Mn", "Ni", "Ni", "Ni", "Ni", "Ni", "Ni", "Ni", "Ni", "Ni", "Ni", "Ni", "Ni", "Ni", "Ni", "Ni", "Ni", "Ni", "Ni", "Ni", "Ni", "Ni", "Ni", "Ni", "Ni"],
  "fractional_positions": [[0.000, 0.000, 0.249], [0.000, 0.000, 0.751], [0.247, 0.753, 0.500], [0.753, 0.247, 0.500], [0.246, 0.754, 0.000], [0.500, 0.500, 0.250], [0.500, 0.500, 0.750], [0.754, 0.246, 0.000], [0.000, 0.000, 0.000], [0.000, 0.000, 0.500], [0.129, 0.381, 0.122], [0.129, 0.381, 0.878], [0.133, 0.379, 0.371], [0.133, 0.379, 0.629], [0.253, 0.747, 0.244], [0.253, 0.747, 0.756], [0.379, 0.133, 0.371], [0.379, 0.133, 0.629], [0.381, 0.129, 0.122], [0.381, 0.129, 0.878], [0.500, 0.500, 0.000], [0.500, 0.500, 0.500], [0.619, 0.871, 0.122], [0.619, 0.871, 0.878], [0.621, 0.867, 0.371], [0.621, 0.867, 0.629], [0.747, 0.253, 0.244], [0.747, 0.253, 0.756], [0.867, 0.621, 0.371], [0.867, 0.621, 0.629], [0.871, 0.619, 0.122], [0.871, 0.619, 0.878]],
  "crystal_system": "orthorhombic",
  "n_ef_per_ev_atom": 0.54,
  "magnetic_moment_mub_per_cell": 25.7,
  "ef_kj_per_mol_fu": -117,
  "vol_a3_per_atom": 11.02
}

***

# 5
{
  "formula": "Mg30MnNiO32",
  "functional": "SCAN",
  "state": "PBEsol geometry",
  "lattice": [[8.442, 0.000, 0.000], [0.000, 8.442, 0.000], [0.000, 0.000, 8.442]],
  "species": ["Mg", "Mg", "Mg", "Mg", "Mg", "Mg", "Mg", "Mg", "Mg", "Mg", "Mg", "Mg", "Mg", "Mg", "Mg", "Mg", "Mg", "Mg", "Mg", "Mg", "Mg", "Mg", "Mg", "Mg", "Mg", "Mg", "Mg", "Mg", "Mg", "Mg", "Mn", "Ni", "O", "O", "O", "O", "O", "O", "O", "O", "O", "O", "O", "O", "O", "O", "O", "O", "O", "O", "O", "O", "O", "O", "O", "O", "O", "O", "O", "O", "O", "O", "O", "O"],
  "fractional_positions": [[0.000, 0.000, 0.000], [0.000, 0.000, 0.500], [0.000, 0.250, 0.250], [0.000, 0.250, 0.750], [0.000, 0.500, 0.000], [0.000, 0.500, 0.500], [0.000, 0.750, 0.250], [0.000, 0.750, 0.750], [0.249, 0.249, 0.000], [0.249, 0.751, 0.000], [0.250, 0.000, 0.250], [0.250, 0.000, 0.750], [0.251, 0.251, 0.500], [0.251, 0.500, 0.251], [0.251, 0.500, 0.749], [0.251, 0.749, 0.500], [0.500, 0.000, 0.000], [0.500, 0.000, 0.500], [0.500, 0.251, 0.251], [0.500, 0.251, 0.749], [0.500, 0.749, 0.251], [0.500, 0.749, 0.749], [0.749, 0.251, 0.500], [0.749, 0.500, 0.251], [0.749, 0.500, 0.749], [0.749, 0.749, 0.500], [0.750, 0.000, 0.250], [0.750, 0.000, 0.750], [0.751, 0.249, 0.000], [0.751, 0.751, 0.000], [0.500, 0.500, 0.000], [0.500, 0.500, 0.500], [0.000, 0.000, 0.250], [0.000, 0.000, 0.750], [0.000, 0.249, 0.000], [0.000, 0.250, 0.500], [0.000, 0.500, 0.251], [0.000, 0.500, 0.749], [0.000, 0.750, 0.500], [0.000, 0.751, 0.000], [0.245, 0.500, 0.000], [0.249, 0.000, 0.000], [0.249, 0.500, 0.500], [0.250, 0.000, 0.500], [0.251, 0.251, 0.250], [0.251, 0.251, 0.750], [0.251, 0.749, 0.250], [0.251, 0.749, 0.750], [0.500, 0.000, 0.251], [0.500, 0.000, 0.749], [0.500, 0.245, 0.000], [0.500, 0.249, 0.500], [0.500, 0.500, 0.245], [0.500, 0.500, 0.755], [0.500, 0.751, 0.500], [0.500, 0.755, 0.000], [0.749, 0.251, 0.250], [0.749, 0.251, 0.750], [0.749, 0.749, 0.250], [0.749, 0.749, 0.750], [0.750, 0.000, 0.500], [0.751, 0.000, 0.000], [0.751, 0.500, 0.500], [0.755, 0.500, 0.000]],
  "e_form_raw_ev_per_atom": -2.923,
  "crystal_system": "tetragonal",
  "magnetic_moment_mub_per_cell": 7.0,
  "vol_a3_per_atom": 9.40
}

***

# 6
{
  "formula": "Mg14MnNiO16",
  "functional": "SCAN",
  "state": "PBEsol geometry",
  "lattice": [[8.447, 0.000, 0.000], [0.000, 8.447, 0.000], [0.000, 0.000, 4.222]],
  "species": ["Mg", "Mg", "Mg", "Mg", "Mg", "Mg", "Mg", "Mg", "Mg", "Mg", "Mg", "Mg", "Mg", "Mg", "Mn", "Ni", "O", "O", "O", "O", "O", "O", "O", "O", "O", "O", "O", "O", "O", "O", "O", "O"],
  "fractional_positions": [[0.000, 0.246, 0.000], [0.000, 0.500, 0.500], [0.000, 0.754, 0.000], [0.246, 0.000, 0.000], [0.247, 0.247, 0.500], [0.247, 0.500, 0.000], [0.247, 0.753, 0.500], [0.500, 0.000, 0.500], [0.500, 0.247, 0.000], [0.500, 0.753, 0.000], [0.753, 0.247, 0.500], [0.753, 0.500, 0.000], [0.753, 0.753, 0.500], [0.754, 0.000, 0.000], [0.500, 0.500, 0.500], [0.000, 0.000, 0.500], [0.000, 0.000, 0.000], [0.000, 0.252, 0.500], [0.000, 0.500, 0.000], [0.000, 0.748, 0.500], [0.247, 0.500, 0.500], [0.250, 0.250, 0.000], [0.250, 0.750, 0.000], [0.252, 0.000, 0.500], [0.500, 0.000, 0.000], [0.500, 0.247, 0.500], [0.500, 0.500, 0.000], [0.500, 0.753, 0.500], [0.748, 0.000, 0.500], [0.750, 0.250, 0.000], [0.750, 0.750, 0.000], [0.753, 0.500, 0.500]],
  "e_form_raw_ev_per_atom": -2.833,
  "crystal_system": "tetragonal",
  "n_ef_per_ev_atom": 0.05,
  "magnetic_moment_mub_per_cell": 6.8,
  "vol_a3_per_atom": 9.41
}

***

# 7
{
  "formula": "Mg14MnNiO16",
  "functional": "SCAN",
  "state": "PBEsol geometry",
  "lattice": [[4.220, 0.000, 0.000], [0.000, 8.425, 0.000], [0.000, 0.000, 8.472]],
  "species": ["Mg", "Mg", "Mg", "Mg", "Mg", "Mg", "Mg", "Mg", "Mg", "Mg", "Mg", "Mg", "Mg", "Mg", "Mn", "Ni", "O", "O", "O", "O", "O", "O", "O", "O", "O", "O", "O", "O", "O", "O", "O", "O"],
  "fractional_positions": [[0.000, 0.000, 0.000], [0.000, 0.248, 0.250], [0.000, 0.248, 0.750], [0.000, 0.500, 0.000], [0.000, 0.752, 0.250], [0.000, 0.752, 0.750], [0.500, 0.000, 0.253], [0.500, 0.000, 0.747], [0.500, 0.245, 0.500], [0.500, 0.249, 0.000], [0.500, 0.500, 0.248], [0.500, 0.500, 0.752], [0.500, 0.751, 0.000], [0.500, 0.755, 0.500], [0.000, 0.500, 0.500], [0.000, 0.000, 0.500], [0.000, 0.000, 0.248], [0.000, 0.000, 0.752], [0.000, 0.249, 0.000], [0.000, 0.253, 0.500], [0.000, 0.500, 0.244], [0.000, 0.500, 0.756], [0.000, 0.747, 0.500], [0.000, 0.751, 0.000], [0.500, 0.000, 0.000], [0.500, 0.000, 0.500], [0.500, 0.250, 0.251], [0.500, 0.250, 0.749], [0.500, 0.500, 0.000], [0.500, 0.500, 0.500], [0.500, 0.750, 0.251], [0.500, 0.750, 0.749]],
  "e_form_raw_ev_per_atom": -2.831,
  "crystal_system": "orthorhombic",
  "n_ef_per_ev_atom": 0.05,
  "magnetic_moment_mub_per_cell": 6.8,
  "vol_a3_per_atom": 9.41
}

***

# 8
{
  "formula": "MgMn2O3",
  "functional": "SCAN",
  "state": "PBEsol geometry",
  "lattice": [[3.058, 0.000, 0.000], [-1.529, 2.649, 0.000], [0.000, 0.000, 7.550]],
  "species": ["Mg", "Mn", "Mn", "O", "O", "O"],
  "fractional_positions": [[0.000, 0.000, 0.000], [0.333, 0.667, 0.670], [0.667, 0.333, 0.330], [0.000, 0.000, 0.500], [0.333, 0.667, 0.156], [0.667, 0.333, 0.844]],
  "e_form_raw_ev_per_atom": -2.266,
  "crystal_system": "trigonal",
  "magnetic_moment_mub_per_cell": 10.0,
  "vol_a3_per_atom": 10.19
}

***

# 9
{
  "formula": "MgMn3O",
  "functional": "SCAN",
  "state": "PBEsol geometry",
  "lattice": [[4.634, 0.000, 0.000], [0.000, 4.634, 0.000], [0.000, 0.000, 4.634]],
  "species": ["Mg", "Mn", "Mn", "Mn", "O"],
  "fractional_positions": [[0.000, 0.000, 0.000], [0.000, 0.000, 0.500], [0.000, 0.500, 0.000], [0.500, 0.000, 0.000], [0.500, 0.500, 0.500]],
  "e_form_raw_ev_per_atom": 1.359,
  "crystal_system": "cubic",
  "n_ef_per_ev_atom": 0.29,
  "magnetic_moment_mub_per_cell": 12.6,
  "vol_a3_per_atom": 19.90
}

***

# 10
{
  "formula": "MgMn4O8",
  "functional": "SCAN",
  "state": "PBEsol geometry",
  "lattice": [[0.000, 4.051, 4.051], [4.051, 0.000, 4.051], [4.051, 4.051, 0.000]],
  "species": ["Mg", "Mn", "Mn", "Mn", "Mn", "O", "O", "O", "O", "O", "O", "O", "O"],
  "fractional_positions": [[0.000, 0.000, 0.000], [0.378, 0.378, 0.378], [0.378, 0.378, 0.866], [0.378, 0.866, 0.378], [0.866, 0.378, 0.378], [0.139, 0.139, 0.139], [0.139, 0.139, 0.584], [0.139, 0.584, 0.139], [0.168, 0.611, 0.611], [0.584, 0.139, 0.139], [0.611, 0.168, 0.611], [0.611, 0.611, 0.168], [0.611, 0.611, 0.611]],
  "de_polymorph_ev_per_atom": 0.000,
  "e_form_raw_ev_per_atom": -2.254,
  "crystal_system": "cubic",
  "n_ef_per_ev_atom": 0.14,
  "magnetic_moment_mub_per_cell": 10.0,
  "vol_a3_per_atom": 10.23
}

***

# 11
{
  "formula": "MgMn2O4",
  "functional": "SCAN",
  "state": "PBEsol geometry",
  "lattice": [[-2.918, 2.966, 4.208], [2.918, -2.966, 4.208], [2.918, 2.966, -4.208]],
  "species": ["Mg", "Mg", "Mn", "Mn", "Mn", "Mn", "O", "O", "O", "O", "O", "O", "O", "O"],
  "fractional_positions": [[0.000, 0.000, 0.000], [0.500, 0.000, 0.500], [0.000, 0.000, 0.500], [0.000, 0.500, 0.000], [0.366, 0.616, 0.750], [0.634, 0.384, 0.250], [0.219, 0.248, 0.971], [0.224, 0.752, 0.471], [0.226, 0.213, 0.487], [0.226, 0.739, 0.013], [0.774, 0.261, 0.987], [0.774, 0.787, 0.513], [0.776, 0.248, 0.529], [0.781, 0.752, 0.029]],
  "de_polymorph_ev_per_atom": 0.015,
  "e_form_raw_ev_per_atom": -2.406,
  "crystal_system": "orthorhombic",
  "n_ef_per_ev_atom": 0.01,
  "magnetic_moment_mub_per_cell": 16.0,
  "vol_a3_per_atom": 10.41
}

***

# 12
{
  "formula": "MgMnO3",
  "functional": "SCAN",
  "state": "PBEsol geometry",
  "lattice": [[2.467, 1.424, 4.564], [-2.467, 1.424, 4.564], [0.000, -2.849, 4.564]],
  "species": ["Mg", "Mg", "Mn", "Mn", "O", "O", "O", "O", "O", "O"],
  "fractional_positions": [[0.141, 0.141, 0.141], [0.859, 0.859, 0.859], [0.342, 0.342, 0.342], [0.658, 0.658, 0.658], [0.061, 0.718, 0.454], [0.282, 0.546, 0.939], [0.454, 0.061, 0.718], [0.546, 0.939, 0.282], [0.718, 0.454, 0.061], [0.939, 0.282, 0.546]],
  "e_form_raw_ev_per_atom": -2.549,
  "crystal_system": "trigonal",
  "n_ef_per_ev_atom": 0.00,
  "magnetic_moment_mub_per_cell": 6.0,
  "vol_a3_per_atom": 9.62
}

***

# 13
{
  "formula": "MgMn2O4",
  "functional": "SCAN",
  "state": "PBEsol geometry",
  "lattice": [[4.945, -2.782, 0.000], [4.945, 2.782, 0.000], [-0.048, 0.000, 10.703]],
  "species": ["Mg", "Mg", "Mg", "Mg", "Mn", "Mn", "Mn", "Mn", "Mn", "Mn", "Mn", "Mn", "O", "O", "O", "O", "O", "O", "O", "O", "O", "O", "O", "O", "O", "O", "O", "O"],
  "fractional_positions": [[0.000, 0.500, 0.500], [0.015, 0.985, 0.750], [0.500, 0.000, 0.000], [0.985, 0.015, 0.250], [0.224, 0.720, 0.018], [0.270, 0.284, 0.765], [0.280, 0.776, 0.482], [0.284, 0.270, 0.265], [0.716, 0.730, 0.735], [0.720, 0.224, 0.518], [0.730, 0.716, 0.235], [0.776, 0.280, 0.982], [0.081, 0.618, 0.673], [0.086, 0.112, 0.578], [0.097, 0.618, 0.181], [0.112, 0.086, 0.078], [0.380, 0.404, 0.431], [0.382, 0.903, 0.319], [0.382, 0.919, 0.827], [0.404, 0.380, 0.931], [0.596, 0.620, 0.069], [0.618, 0.081, 0.173], [0.618, 0.097, 0.681], [0.620, 0.596, 0.569], [0.888, 0.914, 0.922], [0.903, 0.382, 0.819], [0.914, 0.888, 0.422], [0.919, 0.382, 0.327]],
  "de_polymorph_ev_per_atom": 0.031,
  "e_form_raw_ev_per_atom": -2.390,
  "crystal_system": "monoclinic",
  "magnetic_moment_mub_per_cell": 32.0,
  "vol_a3_per_atom": 10.52
}

***

# 14
{
  "formula": "MgMnO2",
  "functional": "SCAN",
  "state": "PBEsol geometry",
  "lattice": [[0.000, 4.323, 4.323], [4.323, 0.000, 4.323], [4.323, 4.323, 0.000]],
  "species": ["Mg", "Mg", "Mg", "Mg", "Mn", "Mn", "Mn", "Mn", "O", "O", "O", "O", "O", "O", "O", "O"],
  "fractional_positions": [[0.000, 0.000, 0.000], [0.000, 0.000, 0.500], [0.000, 0.500, 0.000], [0.500, 0.000, 0.000], [0.000, 0.500, 0.500], [0.500, 0.000, 0.500], [0.500, 0.500, 0.000], [0.500, 0.500, 0.500], [0.237, 0.754, 0.754], [0.246, 0.246, 0.246], [0.246, 0.246, 0.763], [0.246, 0.763, 0.246], [0.754, 0.237, 0.754], [0.754, 0.754, 0.237], [0.754, 0.754, 0.754], [0.763, 0.246, 0.246]],
  "e_form_raw_ev_per_atom": -2.455,
  "crystal_system": "cubic",
  "n_ef_per_ev_atom": 0.00,
  "magnetic_moment_mub_per_cell": 20.0,
  "vol_a3_per_atom": 10.10
}

***

# 15
{
  "formula": "MgMnO3",
  "functional": "SCAN",
  "state": "PBEsol geometry",
  "lattice": [[5.148, 0.000, 0.000], [0.000, 7.157, 0.000], [0.000, 0.000, 4.916]],
  "species": ["Mg", "Mg", "Mg", "Mg", "Mn", "Mn", "Mn", "Mn", "O", "O", "O", "O", "O", "O", "O", "O", "O", "O", "O", "O"],
  "fractional_positions": [[0.068, 0.250, 0.019], [0.432, 0.750, 0.519], [0.568, 0.250, 0.481], [0.932, 0.750, 0.981], [0.000, 0.000, 0.500], [0.000, 0.500, 0.500], [0.500, 0.000, 0.000], [0.500, 0.500, 0.000], [0.050, 0.750, 0.376], [0.195, 0.565, 0.811], [0.195, 0.935, 0.811], [0.305, 0.065, 0.311], [0.305, 0.435, 0.311], [0.450, 0.250, 0.876], [0.550, 0.750, 0.124], [0.695, 0.565, 0.689], [0.695, 0.935, 0.689], [0.805, 0.065, 0.189], [0.805, 0.435, 0.189], [0.950, 0.250, 0.624]],
  "e_form_raw_ev_per_atom": -2.484,
  "crystal_system": "orthorhombic",
  "n_ef_per_ev_atom": 0.00,
  "magnetic_moment_mub_per_cell": 12.0,
  "vol_a3_per_atom": 9.06
}